(1)
{
  "formula": "YZrPd2",
  "functional": "PBE",
  "state": "optimized geometry",
  "cell": [[4.531, 0.000, 0.000], [0.000, 1.759, 5.188], [0.000, -1.759, 5.188]],
  "species": ["Pd", "Y", "Zr", "Pd"],
  "frac_coords": [[0.000, 0.089, 0.089], [0.000, 0.358, 0.358], [0.500, 0.638, 0.638], [0.500, 0.915, 0.915]],
  "crystal_system": "orthorhombic",
  "delta_e_f_mev_per_atom": -747,
  "vol_a3_per_atom": 20.7
}

(2)
{
  "formula": "ZnPd",
  "functional": "PBE",
  "state": "optimized geometry",
  "cell": [[0.000, 3.095, 3.095], [3.095, 0.000, 3.095], [3.095, 3.095, 0.000]],
  "species": ["Zn", "Pd", "Pd", "Zn"],
  "frac_coords": [[0.500, 0.500, 0.500], [0.000, 0.000, 0.000], [0.750, 0.750, 0.750], [0.250, 0.250, 0.250]],
  "crystal_system": "cubic",
  "delta_e_f_mev_per_atom": -360,
  "vol_a3_per_atom": 14.8
}

(3)
{
  "formula": "ZnPd2",
  "functional": "PBE",
  "state": "optimized geometry",
  "cell": [[-4.762, 1.339, 2.141], [0.078, -3.484, 2.352], [3.651, 3.912, 5.673]],
  "species": ["Zn", "Pd", "Pd", "Pd", "Pd", "Pd", "Pd", "Pd", "Zn", "Pd", "Zn", "Zn"],
  "frac_coords": [[0.308, 0.750, 0.900], [0.965, 0.750, 0.276], [0.823, 0.750, 0.931], [0.177, 0.250, 0.069], [0.535, 0.250, 0.776], [0.035, 0.250, 0.724], [0.323, 0.750, 0.569], [0.465, 0.750, 0.224], [0.692, 0.250, 0.100], [0.677, 0.250, 0.431], [0.192, 0.250, 0.400], [0.808, 0.750, 0.600]],
  "crystal_system": "orthorhombic",
  "delta_e_f_mev_per_atom": -463,
  "vol_a3_per_atom": 14.7
}

(4)
{
  "formula": "ZnPd",
  "functional": "PBE",
  "state": "optimized geometry",
  "cell": [[4.800, 0.000, 0.000], [0.000, 10.842, 0.000], [0.000, 0.000, 4.474]],
  "species": ["Pd", "Pd", "Zn", "Pd", "Zn", "Pd", "Zn", "Zn", "Zn", "Zn", "Zn", "Pd", "Zn", "Pd", "Pd", "Pd"],
  "frac_coords": [[0.323, 0.732, 0.500], [0.483, 0.875, 0.000], [0.997, 0.758, 0.000], [0.509, 0.375, 0.000], [0.336, 0.258, 0.500], [0.323, 0.018, 0.500], [0.505, 0.625, 0.000], [0.505, 0.126, 0.000], [0.336, 0.492, 0.500], [0.828, 0.626, 0.500], [0.997, 0.992, 0.000], [0.851, 0.375, 0.500], [0.828, 0.125, 0.500], [0.010, 0.518, 0.000], [0.824, 0.875, 0.500], [0.010, 0.232, 0.000]],
  "crystal_system": "orthorhombic",
  "delta_e_f_mev_per_atom": -425,
  "vol_a3_per_atom": 14.6
}

(5)
{
  "formula": "ZnPd",
  "functional": "PBE",
  "state": "optimized geometry",
  "cell": [[-3.386, -4.524, 4.413], [3.347, -3.470, -2.719], [3.229, 0.651, 3.145]],
  "species": ["Zn", "Pd", "Zn", "Pd", "Pd", "Zn", "Pd", "Zn", "Pd", "Zn", "Zn", "Pd"],
  "frac_coords": [[0.228, 0.062, 0.500], [0.310, 0.327, 0.000], [0.870, 0.216, 0.500], [0.681, 0.172, 0.000], [0.542, 0.883, 0.500], [0.227, 0.551, 0.500], [0.674, 0.667, 0.000], [0.995, 0.505, 0.000], [0.913, 0.729, 0.500], [0.353, 0.839, 0.000], [0.994, 0.993, 0.000], [0.549, 0.388, 0.500]],
  "crystal_system": "monoclinic",
  "delta_e_f_mev_per_atom": -371,
  "vol_a3_per_atom": 14.8
}

(6)
{
  "formula": "ZnPd10",
  "functional": "PBE",
  "state": "optimized geometry",
  "cell": [[-4.220, 0.758, -2.066], [-1.262, -1.424, 2.055], [-3.366, 29.871, 18.628]],
  "species": ["Pd", "Pd", "Pd", "Pd", "Pd", "Pd", "Pd", "Zn", "Pd", "Pd", "Pd", "Pd", "Pd", "Pd", "Pd", "Pd", "Pd", "Pd", "Zn", "Pd", "Pd", "Pd"],
  "frac_coords": [[0.417, 0.250, 0.565], [0.083, 0.250, 0.241], [0.250, 0.750, 0.500], [0.750, 0.250, 0.500], [0.917, 0.750, 0.565], [0.418, 0.250, 0.760], [0.749, 0.250, 0.694], [0.583, 0.750, 0.820], [0.417, 0.250, 0.370], [0.083, 0.250, 0.629], [0.082, 0.250, 0.824], [0.251, 0.750, 0.306], [0.750, 0.250, 0.306], [0.083, 0.250, 0.435], [0.582, 0.750, 0.240], [0.583, 0.750, 0.630], [0.250, 0.750, 0.694], [0.917, 0.750, 0.759], [0.417, 0.250, 0.180], [0.917, 0.750, 0.371], [0.918, 0.750, 0.176], [0.583, 0.750, 0.435]],
  "crystal_system": "monoclinic",
  "delta_e_f_mev_per_atom": -18,
  "vol_a3_per_atom": 21.4,
  "polymorph_energy_mev_per_atom": 0
}

(7)
{
  "formula": "ZnPd15",
  "functional": "PBE",
  "state": "optimized geometry",
  "cell": [[7.865, 0.000, 0.000], [0.000, 45.079, 0.000], [0.000, 0.000, 3.923]],
  "species": ["Pd", "Pd", "Pd", "Pd", "Pd", "Pd", "Pd", "Pd", "Pd", "Pd", "Pd", "Pd", "Pd", "Pd", "Pd", "Pd", "Pd", "Pd", "Pd", "Pd", "Pd", "Pd", "Pd", "Pd", "Pd", "Pd", "Pd", "Pd", "Pd", "Zn", "Pd", "Pd", "Pd", "Pd", "Pd", "Pd", "Pd", "Pd", "Pd", "Pd", "Pd", "Pd", "Pd", "Pd", "Pd", "Pd", "Pd", "Pd", "Pd", "Pd", "Pd", "Zn", "Zn", "Pd", "Pd", "Pd", "Pd", "Pd", "Pd", "Pd", "Zn", "Pd", "Pd", "Pd"],
  "frac_coords": [[0.876, 0.302, 0.000], [0.375, 0.654, 0.000], [0.875, 0.522, 0.500], [0.625, 0.566, 0.500], [0.625, 0.478, 0.500], [0.628, 0.742, 0.500], [0.875, 0.346, 0.500], [0.124, 0.698, 0.000], [0.122, 0.789, 0.000], [0.623, 0.786, 0.000], [0.124, 0.302, 0.500], [0.875, 0.434, 0.500], [0.875, 0.654, 0.000], [0.375, 0.478, 0.000], [0.372, 0.832, 0.000], [0.125, 0.346, 0.000], [0.125, 0.434, 0.000], [0.628, 0.832, 0.500], [0.625, 0.346, 0.000], [0.875, 0.478, 0.000], [0.125, 0.654, 0.500], [0.628, 0.258, 0.000], [0.372, 0.742, 0.000], [0.375, 0.434, 0.500], [0.875, 0.610, 0.500], [0.878, 0.211, 0.000], [0.123, 0.743, 0.500], [0.372, 0.168, 0.500], [0.372, 0.258, 0.500], [0.147, 0.173, 0.000], [0.625, 0.390, 0.500], [0.623, 0.214, 0.500], [0.123, 0.257, 0.000], [0.625, 0.522, 0.000], [0.375, 0.346, 0.500], [0.122, 0.211, 0.500], [0.628, 0.168, 0.000], [0.875, 0.390, 0.000], [0.375, 0.610, 0.500], [0.625, 0.654, 0.500], [0.125, 0.522, 0.000], [0.377, 0.786, 0.500], [0.375, 0.301, 0.000], [0.125, 0.610, 0.000], [0.625, 0.610, 0.000], [0.625, 0.434, 0.000], [0.375, 0.566, 0.000], [0.377, 0.214, 0.000], [0.875, 0.566, 0.000], [0.375, 0.522, 0.500], [0.877, 0.743, 0.000], [0.147, 0.827, 0.500], [0.853, 0.173, 0.500], [0.625, 0.699, 0.000], [0.877, 0.257, 0.500], [0.876, 0.698, 0.500], [0.375, 0.699, 0.500], [0.625, 0.301, 0.500], [0.878, 0.789, 0.500], [0.125, 0.566, 0.500], [0.853, 0.827, 0.000], [0.125, 0.478, 0.500], [0.375, 0.390, 0.000], [0.125, 0.390, 0.500]],
  "crystal_system": "orthorhombic",
  "delta_e_f_mev_per_atom": 3,
  "vol_a3_per_atom": 21.7,
  "polymorph_energy_mev_per_atom": 11
}

(8)
{
  "formula": "ZnPd",
  "functional": "PBE",
  "state": "optimized geometry",
  "cell": [[-1.043, -2.233, 6.613], [3.274, -4.074, -2.056], [3.666, 2.268, 1.344]],
  "species": ["Zn", "Zn", "Pd", "Pd", "Pd", "Zn", "Pd", "Zn", "Pd", "Zn", "Zn", "Pd"],
  "frac_coords": [[0.671, 0.665, 0.000], [0.005, 0.003, 0.000], [0.347, 0.840, 0.000], [0.229, 0.554, 0.500], [0.993, 0.501, 0.000], [0.673, 0.170, 0.000], [0.876, 0.725, 0.500], [0.552, 0.390, 0.500], [0.875, 0.216, 0.500], [0.549, 0.886, 0.500], [0.217, 0.053, 0.500], [0.346, 0.330, 0.000]],
  "crystal_system": "monoclinic",
  "delta_e_f_mev_per_atom": -395,
  "vol_a3_per_atom": 14.6
}

(9)
{
  "formula": "ZnPd21",
  "functional": "PBE",
  "state": "optimized geometry",
  "cell": [[4.786, 0.000, 0.000], [1.607, 7.130, 0.000], [0.130, 0.054, 31.374]],
  "species": ["Pd", "Pd", "Pd", "Pd", "Pd", "Pd", "Pd", "Zn", "Pd", "Pd", "Pd", "Pd", "Pd", "Pd", "Pd", "Pd", "Pd", "Pd", "Pd", "Pd", "Pd", "Pd", "Pd", "Pd", "Pd", "Pd", "Pd", "Pd", "Pd", "Pd", "Pd", "Pd", "Pd", "Zn", "Pd", "Pd", "Pd", "Pd", "Pd", "Pd", "Pd", "Pd", "Pd", "Pd"],
  "frac_coords": [[0.223, 0.574, 0.371], [0.969, 0.829, 0.227], [0.573, 0.025, 0.457], [0.866, 0.123, 0.286], [0.476, 0.320, 0.227], [0.518, 0.672, 0.203], [0.976, 0.825, 0.514], [0.980, 0.826, 0.792], [0.031, 0.171, 0.773], [0.777, 0.426, 0.629], [0.123, 0.874, 0.429], [0.024, 0.175, 0.486], [0.720, 0.074, 0.372], [0.134, 0.877, 0.714], [0.280, 0.926, 0.628], [0.773, 0.423, 0.343], [0.427, 0.975, 0.543], [0.673, 0.724, 0.400], [0.475, 0.325, 0.514], [0.680, 0.727, 0.687], [0.180, 0.227, 0.686], [0.371, 0.622, 0.286], [0.622, 0.374, 0.429], [0.820, 0.773, 0.314], [0.270, 0.924, 0.343], [0.828, 0.776, 0.600], [0.629, 0.378, 0.714], [0.928, 0.473, 0.255], [0.877, 0.126, 0.571], [0.378, 0.626, 0.571], [0.525, 0.675, 0.486], [0.227, 0.577, 0.657], [0.172, 0.224, 0.400], [0.020, 0.174, 0.208], [0.074, 0.524, 0.457], [0.580, 0.025, 0.745], [0.482, 0.328, 0.797], [0.524, 0.680, 0.773], [0.327, 0.276, 0.600], [0.926, 0.476, 0.543], [0.730, 0.076, 0.657], [0.072, 0.527, 0.745], [0.320, 0.273, 0.313], [0.420, 0.975, 0.255]],
  "crystal_system": "triclinic",
  "delta_e_f_mev_per_atom": 84,
  "vol_a3_per_atom": 24.3
}

(10)
{
  "formula": "ZnPd",
  "functional": "PBE",
  "state": "optimized geometry",
  "cell": [[2.326, 4.032, 0.000], [-4.867, 5.501, 0.000], [0.000, 0.000, 4.536]],
  "species": ["Pd", "Zn", "Pd", "Zn", "Zn", "Pd", "Zn", "Zn", "Pd", "Pd"],
  "frac_coords": [[0.100, 0.594, 0.500], [0.685, 0.393, 0.500], [0.976, 0.400, 0.000], [0.491, 0.800, 0.500], [0.382, 0.595, 0.000], [0.894, 0.006, 0.500], [0.177, 0.005, 0.000], [0.278, 0.208, 0.500], [0.773, 0.800, 0.000], [0.577, 0.200, 0.000]],
  "crystal_system": "orthorhombic",
  "delta_e_f_mev_per_atom": -419,
  "vol_a3_per_atom": 14.7
}